Entry 1:
Density functional theory data (PBE-GGA) for a relaxed structure of CeSmY2.

Cell lengths 8.0734, 8.0734, 8.0734 Å; angles 90.00, 90.00, 90.00 degrees
Closest atoms and distances in Å follow each position.
Space group Fm-3m (No. 225)
Inequivalent atoms, fractional coordinates:
1 Ce 0.0000 0.0000 0.0000 (multiplicity 4)  8 Y 3.50
2 Sm 0.0000 0.0000 0.5000 (multiplicity 4)  8 Y 3.50
3 Y 0.2500 0.2500 0.2500 (multiplicity 8)  4 Ce 3.50, 4 Sm 3.50

Summary:
E_tot = -22.92 eV/f.u.
ΔE_f = 0.66 eV per formula unit
ΔE to the lowest computed polymorph = 111 meV/atom
Total moment = 0.9 μB per formula unit

---

Entry 2:
Density functional theory data (PBE-GGA) for a relaxed structure of CeSm4Y8.

Cell lengths 11.0707, 11.0707, 13.5364 Å; angles 90.00, 90.00, 120.00 degrees
Closest atoms and distances in Å follow each position.
Space group R-3m (No. 166, hexagonal axes)
Inequivalent atoms, fractional coordinates:
1 Ce 0.0000 0.0000 0.0000 (multiplicity 3)  8 Y 3.50, 6 Sm 3.91
2 Sm 0.0000 0.0000 0.5000 (multiplicity 3)  8 Y 3.27
3 Sm 0.0000 0.5000 0.5000 (multiplicity 9)  8 Y 3.43
4 Y 0.0000 0.0000 0.2585 (multiplicity 6)  4 Sm 3.27-3.43, 1 Ce 3.50
5 Y 0.0112 0.5056 0.2470 (multiplicity 18)  4 Sm 3.27-3.43, 1 Ce 3.50

Summary:
E_tot = -69.77 eV/f.u.
ΔE_f = 6.75 eV per formula unit
Total moment = 2.7 μB per formula unit

---

Entry 3:
Density functional theory data (PBE-GGA) for a relaxed structure of Ce2Sm7Y2.

Cell lengths 6.6573, 11.9685, 9.4478 Å; angles 90.00, 90.00, 90.00 degrees
Closest atoms and distances in Å follow each position.
Space group Cmmm (No. 65)
Inequivalent atoms, fractional coordinates:
1 Ce 0.1990 0.0000 0.0000 (multiplicity 4)  1 Ce 2.65
2 Sm 0.0000 0.0000 0.5000 (multiplicity 2)  2 Y 3.24
3 Sm 0.0000 0.5000 0.3123 (multiplicity 4)  2 Y 3.27, 5 Sm 3.55-3.64, 2 Ce 3.57
4 Sm 0.2500 0.2500 0.1812 (multiplicity 8)  5 Sm 3.33-3.64, 2 Y 3.45, 2 Ce 3.46
5 Y 0.0000 0.2709 0.5000 (multiplicity 4)  7 Sm 3.24-3.45, 2 Y 3.37

Summary:
E_tot = -53.63 eV/f.u.
ΔE_f = 4.20 eV per formula unit
Total moment = 0.0 μB per formula unit

---

Entry 4:
Density functional theory data (PBE-GGA) for a relaxed structure of CeSm5Y8.

Cell lengths 9.5716, 9.5716, 10.2900 Å; angles 90.00, 90.00, 90.00 degrees
Closest atoms and distances in Å follow each position.
Space group I-4 (No. 82)
Inequivalent atoms, fractional coordinates:
1 Ce 0.0000 0.0000 0.0000 (multiplicity 2)  4 Y 3.16
2 Sm 0.0000 0.5000 0.7500 (multiplicity 2)  8 Y 3.17-3.32
3 Sm 0.1099 0.7126 0.3255 (multiplicity 8)  8 Y 3.41-3.59, 2 Sm 3.59
4 Y 0.0723 0.8221 0.6499 (multiplicity 8)  5 Sm 3.32-3.55, 3 Y 3.66-3.68
5 Y 0.0815 0.6801 0.9970 (multiplicity 8)  1 Ce 3.16, 3 Sm 3.17-3.42

Summary:
E_tot = -77.65 eV/f.u.
ΔE_f = 3.59 eV per formula unit
Total moment = 1.8 μB per formula unit

---

Entry 5:
Density functional theory data (PBE-GGA) for a relaxed structure of CeSmY2.

Cell lengths 5.0619, 5.0619, 5.0352 Å; angles 90.00, 90.00, 90.00 degrees
Closest atoms and distances in Å follow each position.
Space group P4/mmm (No. 123)
Inequivalent atoms, fractional coordinates:
1 Ce 0.0000 0.0000 0.0000 (multiplicity 1)  8 Y 3.57, 4 Sm 3.58
2 Sm 0.5000 0.5000 0.0000 (multiplicity 1)  8 Y 3.57, 4 Ce 3.58
3 Y 0.0000 0.5000 0.5000 (multiplicity 2)  4 Ce 3.57, 4 Sm 3.57, 4 Y 3.58

Summary:
E_tot = -23.27 eV/f.u.
ΔE_f = 0.31 eV per formula unit
ΔE to the lowest computed polymorph = 24 meV/atom
Total moment = 0.7 μB per formula unit

---

Entry 6:
Density functional theory data (PBE-GGA) for a relaxed structure of CeSm12Y3.

Cell lengths 5.1107, 5.1107, 20.4318 Å; angles 90.00, 90.00, 90.00 degrees
Closest atoms and distances in Å follow each position.
Space group P4/mmm (No. 123)
Inequivalent atoms, fractional coordinates:
1 Ce 0.0000 0.0000 0.0000 (multiplicity 1)  12 Sm 3.59-3.61
2 Sm 0.0000 0.5000 0.1235 (multiplicity 4)  2 Ce 3.59, 8 Sm 3.59-3.65, 2 Y 3.62
3 Sm 0.0000 0.5000 0.3745 (multiplicity 4)  8 Sm 3.59-3.62, 4 Y 3.62
4 Sm 0.5000 0.5000 0.0000 (multiplicity 1)  8 Sm 3.59, 4 Ce 3.61
5 Sm 0.5000 0.5000 0.2512 (multiplicity 2)  8 Sm 3.59-3.65, 4 Y 3.61
6 Sm 0.5000 0.5000 0.5000 (multiplicity 1)  4 Y 3.61, 8 Sm 3.62
7 Y 0.0000 0.0000 0.2492 (multiplicity 2)  12 Sm 3.61-3.62
8 Y 0.0000 0.0000 0.5000 (multiplicity 1)  12 Sm 3.61-3.62

Summary:
E_tot = -81.46 eV/f.u.
ΔE_f = 0.50 eV per formula unit
Total moment = 1.0 μB per formula unit